Entry 1:
A plane-wave DFT calculation with PBE was carried out for a relaxed Tl2AgOsO6 crystal.

Cell: 6.0383 6.3615 6.3615 Å, 120.00 90.00 90.00°
Fractional coordinates of all 10 atoms:
Tl (0.9789, 0.3333, 0.6667)
Tl (0.0211, 0.6667, 0.3333)
Ag (0.5000, 0.0000, 0.0000)
Os (0.0000, 0.0000, 0.0000)
O (0.8151, 0.1391, 0.2782)
O (0.8151, 0.1391, 0.8609)
O (0.8151, 0.7218, 0.8609)
O (0.1849, 0.8609, 0.1391)
O (0.1849, 0.2782, 0.1391)
O (0.1849, 0.8609, 0.7218)

Properties
For the volume, the calculation gives 211.6 Å³/cell. The final energy comes out at -5.413 eV per atom. The value obtained for the total moment is 0.00 μB/atom. As for the formation energy without anion corrections: -556 meV per atom. The space-group type is No. 164.

---

Entry 2:
A plane-wave DFT calculation with PBE was carried out for a relaxed Tl3AgOs2O9 crystal.

Cell: 5.7528 5.7528 7.6516 Å, 90.00 90.00 120.00°
Fractional coordinates of all 15 atoms:
Tl (0.3333, 0.6667, 0.6567)
Tl (0.0000, 0.0000, 0.0000)
Tl (0.6667, 0.3333, 0.3433)
Ag (0.0000, 0.0000, 0.5000)
Os (0.3333, 0.6667, 0.1523)
Os (0.6667, 0.3333, 0.8477)
O (0.8219, 0.1781, 0.7191)
O (0.8219, 0.6438, 0.7191)
O (0.3562, 0.1781, 0.7191)
O (0.6438, 0.8219, 0.2809)
O (0.1781, 0.3562, 0.2809)
O (0.1781, 0.8219, 0.2809)
O (0.5000, 0.0000, 0.0000)
O (0.0000, 0.5000, 0.0000)
O (0.5000, 0.5000, 0.0000)

Properties
For the volume, the calculation gives 219.3 Å³/cell. The final energy comes out at -5.884 eV per atom. The value obtained for the total moment is 0.00 μB/atom. As for the formation energy without anion corrections: -748 meV per atom. The space-group type is No. 164.

---

Entry 3:
A plane-wave DFT calculation with PBE was carried out for a relaxed TlAgOs2O8 crystal.

Cell: 5.8879 6.4383 7.6710 Å, 58.30 67.43 62.79°
Fractional coordinates of all 12 atoms:
Tl (0.5000, 0.5000, 0.5000)
Ag (0.0000, 0.0000, 0.0000)
Os (0.2897, 0.2352, 0.1853)
Os (0.7103, 0.7648, 0.8147)
O (0.8762, 0.5485, 0.6990)
O (0.6672, 0.5772, 0.0885)
O (0.1238, 0.4515, 0.3010)
O (0.3328, 0.4228, 0.9115)
O (0.6039, 0.0313, 0.2445)
O (0.3961, 0.9687, 0.7555)
O (0.1202, 0.0313, 0.2445)
O (0.8798, 0.9687, 0.7555)

Properties
For the volume, the calculation gives 216.0 Å³/cell. The final energy comes out at -6.410 eV per atom. The value obtained for the total moment is 0.00 μB/atom. As for the formation energy without anion corrections: -798 meV per atom. The space-group type is No. 12.

---

Entry 4:
A plane-wave DFT calculation with PBE was carried out for a relaxed Tl3Ag2OsO6 crystal.

Cell: 6.4120 6.4120 5.7685 Å, 87.92 87.92 118.41°
Fractional coordinates of all 12 atoms:
Tl (0.1792, 0.8208, 0.5000)
Tl (0.8208, 0.1792, 0.5000)
Tl (0.5000, 0.5000, 0.5000)
Ag (0.3606, 0.6394, 0.0000)
Ag (0.6394, 0.3606, 0.0000)
Os (0.0000, 0.0000, 0.0000)
O (0.9433, 0.6969, 0.9024)
O (0.8654, 0.8654, 0.3074)
O (0.0567, 0.3031, 0.0976)
O (0.6969, 0.9433, 0.9024)
O (0.1346, 0.1346, 0.6926)
O (0.3031, 0.0567, 0.0976)

Properties
For the volume, the calculation gives 208.1 Å³/cell. The final energy comes out at -5.100 eV per atom. The value obtained for the total moment is 0.00 μB/atom. As for the formation energy without anion corrections: -618 meV per atom. The space-group type is No. 12.

---

Entry 5:
A plane-wave DFT calculation with PBE was carried out for a relaxed TmAgOsO6 crystal.

Cell: 5.4827 5.4829 4.7765 Å, 89.99 90.01 59.99°
Fractional coordinates of all 9 atoms:
Tm (0.6666, 0.6667, 0.5000)
Ag (0.9999, 0.0000, 0.0000)
Os (0.3333, 0.3333, 0.5000)
O (0.0428, 0.3476, 0.2753)
O (0.3476, 0.0428, 0.7247)
O (0.6097, 0.3475, 0.7247)
O (0.0428, 0.6096, 0.7246)
O (0.3474, 0.6097, 0.2753)
O (0.6096, 0.0429, 0.2753)

Properties
For the volume, the calculation gives 124.3 Å³/cell. The final energy comes out at -6.814 eV per atom. The value obtained for the total moment is 0.00 μB/atom. As for the formation energy without anion corrections: -1447 meV per atom. The space-group type is No. 149.